A) A plane-wave DFT calculation with GGA-PBE was carried out for a relaxed structure of RbOs3F.

```
data_RbOs3F
_symmetry_space_group_name_H-M 'P m -3 m'
_symmetry_Int_Tables_number 221
_symmetry_space_group_name_Hall '-P 4 2 3'
_cell_length_a 4.5381
_cell_length_b 4.5381
_cell_length_c 4.5381
_cell_angle_alpha 90.00
_cell_angle_beta 90.00
_cell_angle_gamma 90.00
loop_
_atom_site_label
_atom_site_type_symbol
_atom_site_fract_x
_atom_site_fract_y
_atom_site_fract_z
Rb1 Rb 0.0000 0.0000 0.0000
Os1 Os 0.0000 0.5000 0.5000
F1 F 0.5000 0.5000 0.5000
```

Computed properties:
- Total magnetization: 5.043 μB/cell

***

B) A plane-wave DFT calculation with GGA-PBE was carried out for a relaxed structure of RbOs3F.

```
data_RbOs3F
_symmetry_space_group_name_H-M 'P m -3 m'
_symmetry_Int_Tables_number 221
_symmetry_space_group_name_Hall '-P 4 2 3'
_cell_length_a 4.9677
_cell_length_b 4.9677
_cell_length_c 4.9677
_cell_angle_alpha 90.00
_cell_angle_beta 90.00
_cell_angle_gamma 90.00
loop_
_atom_site_label
_atom_site_type_symbol
_atom_site_fract_x
_atom_site_fract_y
_atom_site_fract_z
Rb1 Rb 0.0000 0.0000 0.0000
Os1 Os 0.0000 0.0000 0.5000
F1 F 0.5000 0.5000 0.5000
```

Computed properties:
- Total magnetization: 7.763 μB/cell

***

A) takes first place; second place is 170.9 kJ/mol of atoms up.

***

A) A plane-wave DFT calculation with GGA-PBE was carried out for a relaxed structure of Re3OsF.

```
data_Re3OsF
_symmetry_space_group_name_H-M 'P m -3 m'
_symmetry_Int_Tables_number 221
_symmetry_space_group_name_Hall '-P 4 2 3'
_cell_length_a 4.7594
_cell_length_b 4.7594
_cell_length_c 4.7594
_cell_angle_alpha 90.00
_cell_angle_beta 90.00
_cell_angle_gamma 90.00
loop_
_atom_site_label
_atom_site_type_symbol
_atom_site_fract_x
_atom_site_fract_y
_atom_site_fract_z
Re1 Re 0.0000 0.0000 0.5000
Os1 Os 0.0000 0.0000 0.0000
F1 F 0.5000 0.5000 0.5000
```

Computed properties:
- Total magnetization: 3.596 μB/cell

***

B) A plane-wave DFT calculation with GGA-PBE was carried out for a relaxed structure of Re3OsF.

```
data_Re3OsF
_symmetry_space_group_name_H-M 'P m -3 m'
_symmetry_Int_Tables_number 221
_symmetry_space_group_name_Hall '-P 4 2 3'
_cell_length_a 4.1519
_cell_length_b 4.1519
_cell_length_c 4.1519
_cell_angle_alpha 90.00
_cell_angle_beta 90.00
_cell_angle_gamma 90.00
loop_
_atom_site_label
_atom_site_type_symbol
_atom_site_fract_x
_atom_site_fract_y
_atom_site_fract_z
Re1 Re 0.0000 0.0000 0.5000
Os1 Os 0.5000 0.5000 0.5000
F1 F 0.0000 0.0000 0.0000
```

Computed properties:
- Total magnetization: 0.000 μB/cell

***

B) takes first place; second place is 85.7 kJ/mol of atoms up.

***

A) A plane-wave DFT calculation with GGA-PBE was carried out for a relaxed structure of OsRhF3.

```
data_OsRhF3
_symmetry_space_group_name_H-M 'P m -3 m'
_symmetry_Int_Tables_number 221
_symmetry_space_group_name_Hall '-P 4 2 3'
_cell_length_a 4.1693
_cell_length_b 4.1693
_cell_length_c 4.1693
_cell_angle_alpha 90.00
_cell_angle_beta 90.00
_cell_angle_gamma 90.00
loop_
_atom_site_label
_atom_site_type_symbol
_atom_site_fract_x
_atom_site_fract_y
_atom_site_fract_z
Os1 Os 0.0000 0.0000 0.0000
Rh1 Rh 0.5000 0.5000 0.5000
F1 F 0.0000 0.0000 0.5000
```

Computed properties:
- Total magnetization: 0.735 μB/cell

***

B) A plane-wave DFT calculation with GGA-PBE was carried out for a relaxed structure of OsRhF3.

```
data_OsRhF3
_symmetry_space_group_name_H-M 'P m -3 m'
_symmetry_Int_Tables_number 221
_symmetry_space_group_name_Hall '-P 4 2 3'
_cell_length_a 4.2513
_cell_length_b 4.2513
_cell_length_c 4.2513
_cell_angle_alpha 90.00
_cell_angle_beta 90.00
_cell_angle_gamma 90.00
loop_
_atom_site_label
_atom_site_type_symbol
_atom_site_fract_x
_atom_site_fract_y
_atom_site_fract_z
Os1 Os 0.0000 0.0000 0.0000
Rh1 Rh 0.5000 0.5000 0.5000
F1 F 0.0000 0.5000 0.5000
```

Computed properties:
- Total magnetization: 5.267 μB/cell

***

A) takes first place; second place is 18.7 kJ/mol of atoms up.

***

A) A plane-wave DFT calculation with GGA-PBE was carried out for a relaxed structure of OsRuF3.

```
data_OsRuF3
_symmetry_space_group_name_H-M 'P m -3 m'
_symmetry_Int_Tables_number 221
_symmetry_space_group_name_Hall '-P 4 2 3'
_cell_length_a 4.2476
_cell_length_b 4.2476
_cell_length_c 4.2476
_cell_angle_alpha 90.00
_cell_angle_beta 90.00
_cell_angle_gamma 90.00
loop_
_atom_site_label
_atom_site_type_symbol
_atom_site_fract_x
_atom_site_fract_y
_atom_site_fract_z
Os1 Os 0.0000 0.0000 0.0000
Ru1 Ru 0.5000 0.5000 0.5000
F1 F 0.0000 0.5000 0.5000
```

Computed properties:
- Total magnetization: 6.226 μB/cell

***

B) A plane-wave DFT calculation with GGA-PBE was carried out for a relaxed structure of OsRuF3.

```
data_OsRuF3
_symmetry_space_group_name_H-M 'P m -3 m'
_symmetry_Int_Tables_number 221
_symmetry_space_group_name_Hall '-P 4 2 3'
_cell_length_a 4.1968
_cell_length_b 4.1968
_cell_length_c 4.1968
_cell_angle_alpha 90.00
_cell_angle_beta 90.00
_cell_angle_gamma 90.00
loop_
_atom_site_label
_atom_site_type_symbol
_atom_site_fract_x
_atom_site_fract_y
_atom_site_fract_z
Os1 Os 0.0000 0.0000 0.0000
Ru1 Ru 0.5000 0.5000 0.5000
F1 F 0.0000 0.0000 0.5000
```

Computed properties:
- Total magnetization: 3.536 μB/cell

***

B) takes first place; second place is 10.3 kJ/mol of atoms up.

***

A) A plane-wave DFT calculation with GGA-PBE was carried out for a relaxed structure of Os3RuF.

```
data_Os3RuF
_symmetry_space_group_name_H-M 'P m -3 m'
_symmetry_Int_Tables_number 221
_symmetry_space_group_name_Hall '-P 4 2 3'
_cell_length_a 4.7076
_cell_length_b 4.7076
_cell_length_c 4.7076
_cell_angle_alpha 90.00
_cell_angle_beta 90.00
_cell_angle_gamma 90.00
loop_
_atom_site_label
_atom_site_type_symbol
_atom_site_fract_x
_atom_site_fract_y
_atom_site_fract_z
Os1 Os 0.0000 0.0000 0.5000
Ru1 Ru 0.0000 0.0000 0.0000
F1 F 0.5000 0.5000 0.5000
```

Computed properties:
- Total magnetization: 4.304 μB/cell

***

B) A plane-wave DFT calculation with GGA-PBE was carried out for a relaxed structure of Os3RuF.

```
data_Os3RuF
_symmetry_space_group_name_H-M 'P m -3 m'
_symmetry_Int_Tables_number 221
_symmetry_space_group_name_Hall '-P 4 2 3'
_cell_length_a 4.1562
_cell_length_b 4.1562
_cell_length_c 4.1562
_cell_angle_alpha 90.00
_cell_angle_beta 90.00
_cell_angle_gamma 90.00
loop_
_atom_site_label
_atom_site_type_symbol
_atom_site_fract_x
_atom_site_fract_y
_atom_site_fract_z
Os1 Os 0.0000 0.0000 0.5000
Ru1 Ru 0.5000 0.5000 0.5000
F1 F 0.0000 0.0000 0.0000
```

Computed properties:
- Total magnetization: 0.000 μB/cell

***

B) takes first place; second place is 73.8 kJ/mol of atoms up.

***

A) A plane-wave DFT calculation with GGA-PBE was carried out for a relaxed structure of Os2SF.

```
data_Os2SF
_symmetry_space_group_name_H-M 'I -4 2 d'
_symmetry_Int_Tables_number 122
_symmetry_space_group_name_Hall 'I -4 2bw'
_cell_length_a 5.3721
_cell_length_b 5.3721
_cell_length_c 9.3590
_cell_angle_alpha 90.00
_cell_angle_beta 90.00
_cell_angle_gamma 90.00
loop_
_atom_site_label
_atom_site_type_symbol
_atom_site_fract_x
_atom_site_fract_y
_atom_site_fract_z
Os1 Os 0.2247 0.2500 0.1250
S1 S 0.0000 0.0000 0.0000
F1 F 0.0000 0.0000 0.5000
```

Computed properties:
- Total magnetization: 3.645 μB/cell

***

B) A plane-wave DFT calculation with GGA-PBE was carried out for a relaxed structure of Os2SF.

```
data_Os2SF
_symmetry_space_group_name_H-M 'F m -3 m'
_symmetry_Int_Tables_number 225
_symmetry_space_group_name_Hall '-F 4 2 3'
_cell_length_a 5.8003
_cell_length_b 5.8003
_cell_length_c 5.8003
_cell_angle_alpha 90.00
_cell_angle_beta 90.00
_cell_angle_gamma 90.00
loop_
_atom_site_label
_atom_site_type_symbol
_atom_site_fract_x
_atom_site_fract_y
_atom_site_fract_z
Os1 Os 0.2500 0.2500 0.2500
S1 S 0.0000 0.0000 0.0000
F1 F 0.0000 0.0000 0.5000
```

Computed properties:
- Total magnetization: 0.000 μB/cell

***

B) takes first place; second place is 13.2 kJ/mol of atoms up.

***

A) A plane-wave DFT calculation with GGA-PBE was carried out for a relaxed structure of Sb3OsF.

```
data_Sb3OsF
_symmetry_space_group_name_H-M 'P m -3 m'
_symmetry_Int_Tables_number 221
_symmetry_space_group_name_Hall '-P 4 2 3'
_cell_length_a 5.1676
_cell_length_b 5.1676
_cell_length_c 5.1676
_cell_angle_alpha 90.00
_cell_angle_beta 90.00
_cell_angle_gamma 90.00
loop_
_atom_site_label
_atom_site_type_symbol
_atom_site_fract_x
_atom_site_fract_y
_atom_site_fract_z
Sb1 Sb 0.0000 0.0000 0.5000
Os1 Os 0.0000 0.0000 0.0000
F1 F 0.5000 0.5000 0.5000
```

Computed properties:
- Total magnetization: 0.001 μB/cell

***

B) A plane-wave DFT calculation with GGA-PBE was carried out for a relaxed structure of Sb3OsF.

```
data_Sb3OsF
_symmetry_space_group_name_H-M 'P m -3 m'
_symmetry_Int_Tables_number 221
_symmetry_space_group_name_Hall '-P 4 2 3'
_cell_length_a 4.7268
_cell_length_b 4.7268
_cell_length_c 4.7268
_cell_angle_alpha 90.00
_cell_angle_beta 90.00
_cell_angle_gamma 90.00
loop_
_atom_site_label
_atom_site_type_symbol
_atom_site_fract_x
_atom_site_fract_y
_atom_site_fract_z
Sb1 Sb 0.0000 0.0000 0.5000
Os1 Os 0.5000 0.5000 0.5000
F1 F 0.0000 0.0000 0.0000
```

Computed properties:
- Total magnetization: 0.000 μB/cell

***

A) takes first place; second place is 26.9 kJ/mol of atoms up.

***

A) A plane-wave DFT calculation with GGA-PBE was carried out for a relaxed structure of Sb2OsF.

```
data_Sb2OsF
_symmetry_space_group_name_H-M 'I -4 2 d'
_symmetry_Int_Tables_number 122
_symmetry_space_group_name_Hall 'I -4 2bw'
_cell_length_a 5.7132
_cell_length_b 5.7132
_cell_length_c 12.4210
_cell_angle_alpha 90.00
_cell_angle_beta 90.00
_cell_angle_gamma 90.00
loop_
_atom_site_label
_atom_site_type_symbol
_atom_site_fract_x
_atom_site_fract_y
_atom_site_fract_z
Sb1 Sb 0.2437 0.2500 0.1250
Os1 Os 0.0000 0.0000 0.0000
F1 F 0.0000 0.0000 0.5000
```

Computed properties:
- Total magnetization: 0.000 μB/cell

***

B) A plane-wave DFT calculation with GGA-PBE was carried out for a relaxed structure of Sb2OsF.

```
data_Sb2OsF
_symmetry_space_group_name_H-M 'F m -3 m'
_symmetry_Int_Tables_number 225
_symmetry_space_group_name_Hall '-F 4 2 3'
_cell_length_a 6.4860
_cell_length_b 6.4860
_cell_length_c 6.4860
_cell_angle_alpha 90.00
_cell_angle_beta 90.00
_cell_angle_gamma 90.00
loop_
_atom_site_label
_atom_site_type_symbol
_atom_site_fract_x
_atom_site_fract_y
_atom_site_fract_z
Sb1 Sb 0.2500 0.2500 0.2500
Os1 Os 0.0000 0.0000 0.0000
F1 F 0.0000 0.0000 0.5000
```

Computed properties:
- Total magnetization: 0.000 μB/cell

***

B) takes first place; second place is 23.1 kJ/mol of atoms up.